[1]
Density functional theory data (PBE-GGA) for crystalline CaAsAu at its relaxed geometry.

```
CaAsAu
1.0
-1.554 3.103 3.732
2.036 -4.531 1.136
10.612 4.863 0.374
Ca Au As
2 2 2
direct
0.000 0.000 0.750
0.000 0.000 0.250
0.667 0.333 0.750
0.333 0.667 0.250
0.000 0.000 0.000
0.000 0.000 0.500
```

## Properties
Final energy: -0.2157 Ry per atom
SG: P6_3/mmc
Magnetic moment: 2.00 μB per formula unit

[2]
Density functional theory data (PBE-GGA) for crystalline CaAsAu2 at its relaxed geometry.

```
CaAsAu2
1.0
5.528 0.069 -0.362
4.596 3.072 -0.362
0.424 0.131 4.965
Au As Ca
2 1 1
direct
0.518 0.518 0.493
0.982 0.982 0.007
0.750 0.750 0.750
0.250 0.250 0.250
```

## Properties
Final energy: -0.2721 Ry per atom
SG: C2/m
Magnetic moment: 0.00 μB per formula unit

[3]
Density functional theory data (PBE-GGA) for crystalline CaAsAu at its relaxed geometry.

```
CaAsAu
1.0
4.450 0.000 0.000
0.000 4.450 0.000
0.000 0.000 6.871
Ca Au As
2 2 2
direct
0.500 0.500 0.500
0.000 0.000 0.500
0.500 0.000 0.191
0.000 0.500 0.809
0.000 0.500 0.195
0.500 0.000 0.805
```

## Properties
Final energy: -0.2684 Ry per atom
SG: P4/nmm
Magnetic moment: 0.00 μB per formula unit

[4]
Density functional theory data (PBE-GGA) for crystalline Ca2As2Au at its relaxed geometry.

```
Ca2As2Au
1.0
-2.832 3.932 -3.157
-0.931 -3.966 -4.105
-5.316 -1.058 -1.846
Au Ca As
1 2 2
direct
0.000 0.000 0.000
0.250 0.750 0.500
0.750 0.250 0.500
0.324 0.324 0.351
0.676 0.676 0.649
```

## Properties
Final energy: -0.2937 Ry per atom
SG: I4/mmm
Magnetic moment: 0.00 μB per formula unit

Copy entry 3 word for word.
Density functional theory data (PBE-GGA) for crystalline CaAsAu at its relaxed geometry.

```
CaAsAu
1.0
4.450 0.000 0.000
0.000 4.450 0.000
0.000 0.000 6.871
Ca Au As
2 2 2
direct
0.500 0.500 0.500
0.000 0.000 0.500
0.500 0.000 0.191
0.000 0.500 0.809
0.000 0.500 0.195
0.500 0.000 0.805
```

## Properties
Final energy: -0.2684 Ry per atom
SG: P4/nmm
Magnetic moment: 0.00 μB per formula unit

final energy of number 3 (CaAsAu)?
-0.2684 Ry per atom

What is the magnetic moment in the second record?
0.00 μB per formula unit